Density functional theory data (GGA-PBE) for a relaxed YPb2IO4 crystal.

The space group is P4/mmm (No. 123) and the conventional cell measures 4.008, 4.008 and 9.542 Å, with angles of 90.00, 90.00 and 90.00 degrees. The asymmetric unit holds Y at (0.000, 0.000, 0.000), Pb at (0.500, 0.500, 0.254), I at (0.000, 0.000, 0.500) and O at (0.000, 0.500, 0.139).

The volume is 19.16 A^3/atom. The energy relative to the elements, uncorrected comes out at -1616.6 meV per atom.



Density functional theory data (GGA-PBE) for a relaxed ZnPbIO2 crystal.

The space group is Cmcm (No. 63) and the conventional cell measures 5.624, 15.138 and 5.628 Å, with angles of 90.00, 90.00 and 90.00 degrees. The asymmetric unit holds Zn at (0.000, 0.020, 0.250), Pb at (0.000, 0.414, 0.250), I at (0.000, 0.212, 0.750) and O at (0.245, 0.000, 0.000).

The polymorph energy (0 for the lowest one) is 0 meV/atom. The volume is 23.96 A^3/atom. The energy relative to the elements, uncorrected comes out at -834.0 meV per atom.



Density functional theory data (GGA-PBE) for a relaxed ZnPbIO2 crystal.

The space group is P4/mmm (No. 123) and the conventional cell measures 4.262, 4.262 and 6.203 Å, with angles of 90.00, 90.00 and 90.00 degrees. The asymmetric unit holds Zn at (0.000, 0.000, 0.000), Pb at (0.500, 0.500, 0.500), I at (0.500, 0.500, 0.000) and O at (0.000, 0.500, 0.500).

The polymorph energy (0 for the lowest one) is 734 meV/atom. The volume is 22.53 A^3/atom. The energy relative to the elements, uncorrected comes out at -99.5 meV per atom.



Density functional theory data (GGA-PBE) for a relaxed ZnPbIO2 crystal.

The space group is P4/mmm (No. 123) and the conventional cell measures 4.220, 4.220 and 5.315 Å, with angles of 90.00, 90.00 and 90.00 degrees. The asymmetric unit holds Zn at (0.000, 0.000, 0.000), Pb at (0.500, 0.500, 0.500), I at (0.000, 0.000, 0.500) and O at (0.000, 0.500, 0.000).

The polymorph energy (0 for the lowest one) is 718 meV/atom. The volume is 18.93 A^3/atom. The energy relative to the elements, uncorrected comes out at -116.1 meV per atom.



Density functional theory data (GGA-PBE) for a relaxed ZnPbI2O crystal.

The space group is P4/mmm (No. 123) and the conventional cell measures 6.167, 6.167 and 4.207 Å, with angles of 90.00, 90.00 and 90.00 degrees. The asymmetric unit holds Zn at (0.000, 0.000, 0.000), Pb at (0.500, 0.500, 0.500), I at (0.000, 0.500, 0.500) and O at (0.500, 0.500, 0.000).

The polymorph energy (0 for the lowest one) is 284 meV/atom. The volume is 32.00 A^3/atom. The energy relative to the elements, uncorrected comes out at -52.0 meV per atom.



Density functional theory data (GGA-PBE) for a relaxed ZnPbI2O crystal.

The space group is P4/mmm (No. 123) and the conventional cell measures 5.556, 5.556 and 3.987 Å, with angles of 90.00, 90.00 and 90.00 degrees. The asymmetric unit holds Zn at (0.000, 0.000, 0.000), Pb at (0.500, 0.500, 0.500), I at (0.000, 0.500, 0.000) and O at (0.000, 0.000, 0.500).

The polymorph energy (0 for the lowest one) is 0 meV/atom. The volume is 24.61 A^3/atom. The energy relative to the elements, uncorrected comes out at -335.9 meV per atom.



Density functional theory data (GGA-PBE) for a relaxed PdIO2 crystal.

The space group is R-3m (No. 166, hexagonal axes) and the conventional cell measures 3.4613, 3.4613 and 18.2958 Å, with angles of 90.00, 90.00 and 120.00 degrees. The asymmetric unit holds Pd at (0.0000, 0.0000, 0.0000), I at (0.0000, 0.0000, 0.5000) and O at (0.0000, 0.0000, 0.3822).

The polymorph energy (0 for the lowest one) is 0 meV/atom. The volume is 15.82 A^3/atom. The energy relative to the elements, uncorrected comes out at -98.8 meV per atom.



Density functional theory data (GGA-PBE) for a relaxed PdIO2 crystal.

The space group is R-3m (No. 166, hexagonal axes) and the conventional cell measures 3.1065, 3.1065 and 21.7080 Å, with angles of 90.00, 90.00 and 120.00 degrees. The asymmetric unit holds Pd at (0.0000, 0.0000, 0.0000), I at (0.0000, 0.0000, 0.5000) and O at (0.0000, 0.0000, 0.0892).

The polymorph energy (0 for the lowest one) is 477 meV/atom. The volume is 15.12 A^3/atom. The energy relative to the elements, uncorrected comes out at 377.7 meV per atom.



Density functional theory data (GGA-PBE) for a relaxed PdIO3 crystal.

The space group is C2/c (No. 15) and the conventional cell measures 11.529, 9.760 and 5.836 Å, with angles of 90.00, 101.83 and 90.00 degrees. The asymmetric unit holds Pd at (0.000, 0.077, 0.250), Pd at (0.000, 0.240, 0.750), I at (0.203, 0.333, 0.222), O at (0.083, 0.391, 0.968), O at (0.084, 0.085, 0.955) and O at (0.112, 0.232, 0.425).

The volume is 16.07 A^3/atom. The energy relative to the elements, uncorrected comes out at -143.6 meV per atom.



Density functional theory data (GGA-PBE) for a relaxed PdIO2 crystal.

The space group is I-42d (No. 122) and the conventional cell measures 4.140, 4.140 and 13.818 Å, with angles of 90.00, 90.00 and 90.00 degrees. The asymmetric unit holds Pd at (0.000, 0.000, 0.000), I at (0.000, 0.000, 0.500) and O at (0.246, 0.250, 0.625).

The polymorph energy (0 for the lowest one) is 346 meV/atom. The volume is 14.80 A^3/atom. The energy relative to the elements, uncorrected comes out at 247.1 meV per atom.



Density functional theory data (GGA-PBE) for a relaxed PdIO3 crystal.

The space group is Pm-3m (No. 221) and the conventional cell measures 4.017, 4.017 and 4.017 Å, with angles of 90.00, 90.00 and 90.00 degrees. The asymmetric unit holds Pd at (0.000, 0.000, 0.000), I at (0.500, 0.500, 0.500) and O at (0.000, 0.000, 0.500).

The volume is 12.96 A^3/atom. The energy relative to the elements, uncorrected comes out at 311.8 meV per atom.



Density functional theory data (GGA-PBE) for a relaxed PdIO crystal.

The space group is P-1 (No. 2) and the conventional cell measures 3.877, 4.619 and 6.479 Å, with angles of 87.66, 89.87 and 89.70 degrees. The asymmetric unit holds Pd at (0.248, 0.248, 0.488), I at (0.250, 0.742, 0.787) and O at (0.252, 0.323, 0.852).

The volume is 19.32 A^3/atom. The energy relative to the elements, uncorrected comes out at 145.1 meV per atom.



Question: Look up the volume of the first one.
Answer: 19.16 A^3/atom



Question: The lowest energy relative to the elements, uncorrected belongs to which entry?
Answer: YPb2IO4



Question: Look up the energy relative to the elements, uncorrected of the eighth one.
Answer: 377.7 meV per atom



Question: Among the records above, which one has the lowest energy relative to the elements, uncorrected?
Answer: YPb2IO4